[1]
Material: Mg2TaPbCl
Method: DFT, PBE
State: relaxed

Unit cell a=4.9984 b=4.9984 c=4.6166 alpha=90.00 beta=90.00 gamma=90.00
Element x y z (fractional)
Mg1 0.0000 0.5000 0.0000
Mg2 0.5000 0.0000 0.0000
Ta1 0.0000 0.0000 0.5000
Pb1 0.5000 0.5000 0.5000
Cl1 0.0000 0.0000 0.0000

Calculated values
raw formation energy	543	meV per atom

[2]
Material: SrScAu2
Method: DFT, PBE
State: relaxed

Unit cell a=4.7750 b=5.9173 c=5.9173 alpha=36.26 beta=90.00 gamma=90.00
Element x y z (fractional)
Sr1 0.0000 0.0000 0.0000
Sc1 0.5000 0.7260 0.7260
Au1 0.0000 0.2659 0.2659
Au2 0.5000 0.4299 0.4299

Calculated values
offset from the most stable computed form	0.1018	eV/atom

[3]
Material: Ba4TlGa2
Method: DFT, PBE
State: relaxed

Unit cell a=8.9595 b=8.9595 c=8.9595 alpha=93.90 beta=93.90 gamma=149.77
Element x y z (fractional)
Ba1 0.0000 0.2398 0.2398
Ba2 0.0000 0.7602 0.7602
Ba3 0.2398 0.0000 0.2398
Ba4 0.7602 0.0000 0.7602
Tl1 0.5000 0.5000 0.0000
Ga1 0.2500 0.7500 0.5000
Ga2 0.7500 0.2500 0.5000

Calculated values
VASP energy	-2.44	eV per atom

[4]
Material: Tb6DySc12
Method: DFT, PBE
State: relaxed

Unit cell a=8.3382 b=8.3382 c=8.3382 alpha=100.06 beta=100.06 gamma=100.06
Element x y z (fractional)
Tb1 0.2404 0.7215 0.7215
Tb2 0.2785 0.2785 0.7596
Tb3 0.2785 0.7596 0.2785
Tb4 0.7215 0.2404 0.7215
Tb5 0.7215 0.7215 0.2404
Tb6 0.7596 0.2785 0.2785
Dy1 0.5000 0.5000 0.5000
Sc1 0.0000 0.3855 0.6145
Sc2 0.0000 0.6145 0.3855
Sc3 0.0452 0.0452 0.3351
Sc4 0.0452 0.3351 0.0452
Sc5 0.3351 0.0452 0.0452
Sc6 0.3855 0.0000 0.6145
Sc7 0.3855 0.6145 0.0000
Sc8 0.6145 0.0000 0.3855
Sc9 0.6145 0.3855 0.0000
Sc10 0.6649 0.9548 0.9548
Sc11 0.9548 0.6649 0.9548
Sc12 0.9548 0.9548 0.6649

Calculated values
VASP energy	-5.19	eV per atom

[5]
Material: Ac4LaCd5
Method: DFT, PBE
State: relaxed

Unit cell a=4.0531 b=4.0531 c=20.2169 alpha=90.00 beta=90.00 gamma=90.00
Element x y z (fractional)
Ac1 0.0000 0.0000 0.1013
Ac2 0.0000 0.0000 0.3049
Ac3 0.0000 0.0000 0.6951
Ac4 0.0000 0.0000 0.8987
La1 0.0000 0.0000 0.5000
Cd1 0.5000 0.5000 0.0000
Cd2 0.5000 0.5000 0.2027
Cd3 0.5000 0.5000 0.4083
Cd4 0.5000 0.5000 0.5917
Cd5 0.5000 0.5000 0.7973

Calculated values
VASP energy	-2.89	eV per atom

[6]
Material: CaAuSe3
Method: DFT, PBE
State: relaxed

Unit cell a=5.4725 b=5.4725 c=5.4725 alpha=90.00 beta=90.00 gamma=90.00
Element x y z (fractional)
Ca1 0.0000 0.0000 0.0000
Au1 0.5000 0.5000 0.5000
Se1 0.0000 0.0000 0.5000
Se2 0.0000 0.5000 0.0000
Se3 0.5000 0.0000 0.0000

Calculated values
raw formation energy	372	meV per atom
offset from the most stable computed form	0.7084	eV/atom

[7]
Material: CrFe2SbH
Method: DFT, PBE
State: relaxed

Unit cell a=3.8729 b=3.8729 c=3.7849 alpha=90.00 beta=90.00 gamma=90.00
Element x y z (fractional)
Cr1 0.0000 0.0000 0.0000
Fe1 0.0000 0.5000 0.5000
Fe2 0.5000 0.0000 0.5000
Sb1 0.5000 0.5000 0.0000
H1 0.0000 0.0000 0.5000

Calculated values
VASP energy	-6.71	eV per atom

[8]
Material: AlGaPCl
Method: DFT, PBE
State: relaxed

Unit cell a=3.8481 b=3.8481 c=7.3972 alpha=90.00 beta=90.00 gamma=120.00
Element x y z (fractional)
Al1 0.0000 0.0000 0.0000
Ga1 0.3333 0.6667 0.3830
P1 0.6667 0.3333 0.1216
Cl1 0.0000 0.0000 0.7037

Calculated values
raw formation energy	-572	meV per atom
offset from the most stable computed form	0.0013	eV/atom

[9]
Material: Y2CrP
Method: DFT, PBE
State: relaxed

Unit cell a=9.1487 b=9.1487 c=5.4737 alpha=99.95 beta=99.95 gamma=24.59
Element x y z (fractional)
Y1 0.0000 0.0000 0.0000
Y2 0.1987 0.1987 0.1134
Y3 0.5745 0.5745 0.5485
Y4 0.8003 0.8003 0.6659
Cr1 0.3867 0.3867 0.2327
Cr2 0.9396 0.9396 0.4373
P1 0.4200 0.4200 0.6923
P2 0.8083 0.8083 0.1701

Calculated values
VASP energy	-7.49	eV per atom

[10]
Material: AlGa2Pd
Method: DFT, PBE
State: relaxed

Unit cell a=3.9499 b=3.9499 c=4.0856 alpha=90.00 beta=90.00 gamma=90.00
Element x y z (fractional)
Al1 0.0000 0.0000 0.0000
Ga1 0.0000 0.5000 0.5000
Ga2 0.5000 0.0000 0.5000
Pd1 0.5000 0.5000 0.0000

Calculated values
VASP energy	-3.98	eV per atom

[11]
Material: Ru2PbCl
Method: DFT, PBE
State: relaxed

Unit cell a=5.2250 b=5.2250 c=4.7719 alpha=95.12 beta=95.12 gamma=35.32
Element x y z (fractional)
Ru1 0.0000 0.0000 0.0000
Ru2 0.7261 0.7261 0.1874
Pb1 0.2691 0.2691 0.7185
Cl1 0.5131 0.5131 0.3480

Calculated values
raw formation energy	627	meV per atom
offset from the most stable computed form	0.4613	eV/atom

[12]
Material: ZrCo3Si3
Method: DFT, PBE
State: relaxed

Unit cell a=6.0771 b=6.0771 c=6.0771 alpha=90.00 beta=90.00 gamma=90.00
Element x y z (fractional)
Zr1 0.0000 0.0000 0.0000
Zr2 0.5000 0.5000 0.5000
Co1 0.0000 0.2500 0.5000
Co2 0.0000 0.7500 0.5000
Co3 0.2500 0.5000 0.0000
Co4 0.5000 0.0000 0.2500
Co5 0.5000 0.0000 0.7500
Co6 0.7500 0.5000 0.0000
Si1 0.0000 0.5000 0.2500
Si2 0.0000 0.5000 0.7500
Si3 0.2500 0.0000 0.5000
Si4 0.5000 0.2500 0.0000
Si5 0.5000 0.7500 0.0000
Si6 0.7500 0.0000 0.5000

Calculated values
raw formation energy	83	meV per atom

[13]
Material: NdDyMg
Method: DFT, PBE
State: relaxed

Unit cell a=5.2524 b=5.2524 c=7.6264 alpha=90.00 beta=90.00 gamma=90.00
Element x y z (fractional)
Nd1 0.2500 0.7500 0.0000
Nd2 0.7500 0.2500 0.0000
Dy1 0.2500 0.7500 0.5000
Dy2 0.7500 0.2500 0.5000
Mg1 0.2500 0.2500 0.2565
Mg2 0.7500 0.7500 0.7435

Calculated values
offset from the most stable computed form	0.4429	eV/atom

[14]
Material: Cd3CSe
Method: DFT, PBE
State: relaxed

Unit cell a=4.6238 b=4.6238 c=4.6238 alpha=90.00 beta=90.00 gamma=90.00
Element x y z (fractional)
Cd1 0.0000 0.0000 0.5000
Cd2 0.0000 0.5000 0.0000
Cd3 0.5000 0.0000 0.0000
C1 0.0000 0.0000 0.0000
Se1 0.5000 0.5000 0.5000

Calculated values
raw formation energy	416	meV per atom
offset from the most stable computed form	0.0000	eV/atom

[15]
Material: CaSb2AsI
Method: DFT, PBE
State: relaxed

Unit cell a=5.4136 b=5.4136 c=5.7200 alpha=90.00 beta=90.00 gamma=90.00
Element x y z (fractional)
Ca1 0.0000 0.0000 0.0000
Sb1 0.0000 0.5000 0.5000
Sb2 0.5000 0.0000 0.5000
As1 0.5000 0.5000 0.5000
I1 0.5000 0.5000 0.0000

Calculated values
raw formation energy	54	meV per atom
offset from the most stable computed form	0.0000	eV/atom

[16]
Material: Mg2TlBiCl8
Method: DFT, PBE
State: relaxed

Unit cell a=6.5319 b=6.5410 c=9.0724 alpha=77.85 beta=78.06 gamma=78.07
Element x y z (fractional)
Mg1 0.0436 0.0449 0.2895
Mg2 0.9564 0.9551 0.7105
Tl1 0.5000 0.5000 0.5000
Bi1 0.5000 0.5000 0.0000
Cl1 0.1628 0.1700 0.4820
Cl2 0.2208 0.2292 0.0438
Cl3 0.2371 0.6984 0.2264
Cl4 0.3073 0.7691 0.7714
Cl5 0.6927 0.2309 0.2286
Cl6 0.7629 0.3016 0.7736
Cl7 0.7792 0.7708 0.9562
Cl8 0.8372 0.8300 0.5180

Calculated values
raw formation energy	-1371	meV per atom

[17]
Material: YHfW2
Method: DFT, PBE
State: relaxed

Unit cell a=6.1753 b=6.1753 c=6.1753 alpha=102.01 beta=102.01 gamma=125.71
Element x y z (fractional)
Y1 0.0000 0.0000 0.0000
Y2 0.7500 0.2500 0.5000
Hf1 0.2500 0.7500 0.5000
Hf2 0.5000 0.5000 0.0000
W1 0.1418 0.6250 0.0168
W2 0.3750 0.3918 0.5168
W3 0.6082 0.1250 0.9832
W4 0.8750 0.8582 0.4832

Calculated values
offset from the most stable computed form	0.5218	eV/atom

[18]
Material: Sr2Zn2Ni15
Method: DFT, PBE
State: relaxed

Unit cell a=6.3877 b=6.3877 c=6.3877 alpha=83.43 beta=83.43 gamma=83.43
Element x y z (fractional)
Sr1 0.1515 0.1515 0.1515
Sr2 0.8485 0.8485 0.8485
Zn1 0.3995 0.3995 0.3995
Zn2 0.6005 0.6005 0.6005
Ni1 0.0000 0.5000 0.5000
Ni2 0.1594 0.1594 0.6483
Ni3 0.1594 0.6483 0.1594
Ni4 0.2116 0.5000 0.7884
Ni5 0.2116 0.7884 0.5000
Ni6 0.3517 0.8406 0.8406
Ni7 0.5000 0.0000 0.5000
Ni8 0.5000 0.2116 0.7884
Ni9 0.5000 0.5000 0.0000
Ni10 0.5000 0.7884 0.2116
Ni11 0.6483 0.1594 0.1594
Ni12 0.7884 0.2116 0.5000
Ni13 0.7884 0.5000 0.2116
Ni14 0.8406 0.3517 0.8406
Ni15 0.8406 0.8406 0.3517

Calculated values
VASP energy	-4.93	eV per atom

[19]
Material: Tb3Tm2Rh2
Method: DFT, PBE
State: relaxed

Unit cell a=6.2717 b=6.2717 c=8.8373 alpha=114.58 beta=114.58 gamma=35.29
Element x y z (fractional)
Tb1 0.0000 0.0000 0.0000
Tb2 0.1147 0.1147 0.4297
Tb3 0.8853 0.8853 0.5703
Tm1 0.3322 0.3322 0.1899
Tm2 0.6678 0.6678 0.8101
Rh1 0.3192 0.3192 0.7611
Rh2 0.6808 0.6808 0.2389

Calculated values
VASP energy	-5.95	eV per atom

[20]
Material: HfPIr2
Method: DFT, PBE
State: relaxed

Unit cell a=5.4346 b=5.4346 c=5.9754 alpha=94.70 beta=94.70 gamma=45.38
Element x y z (fractional)
Hf1 0.0000 0.0000 0.0000
Hf2 0.1967 0.1967 0.4637
P1 0.4789 0.4789 0.3092
P2 0.7599 0.7599 0.7540
Ir1 0.3021 0.3021 0.9404
Ir2 0.5335 0.5335 0.7021
Ir3 0.6775 0.6775 0.1369
Ir4 0.9022 0.9022 0.4531

Calculated values
VASP energy	-9.07	eV per atom